Record 1
Compound: Al2PPt
Source: Alexandria via LeMat-Bulk
Functional: GGA-PBEsol
Structure: optimized geometry

Calculated values
mass density	7.337	g/cm3
final energy	-5.577	eV/atom
M_tot	0.0000	μB/atom
symmetry	Imm2, No. 44
E_form	-0.343	eV per atom
DOS at the Fermi energy	1.66	states/eV per cell

```
Al2PPt
1.0
-1.364 2.145 5.415
1.364 -2.145 5.415
1.364 2.145 -5.415
Al P Pt
2 1 1
Direct
0.000 0.000 0.000
0.745 0.245 0.500
0.329 0.829 0.500
0.545 0.545 0.000
```

Record 2
Compound: ScAlRh
Source: Alexandria via LeMat-Bulk
Functional: GGA-PBEsol
Structure: optimized geometry

Calculated values
mass density	5.285	g/cm3
final energy	-6.480	eV/atom
M_tot	0.0000	μB/atom
symmetry	F-43m, No. 216
E_form	-0.201	eV per atom
DOS at the Fermi energy	4.05	states/eV per cell

```
ScAlRh
1.0
0.000 3.017 3.017
3.017 0.000 3.017
3.017 3.017 0.000
Sc Al Rh
1 1 1
Direct
0.000 0.000 0.000
0.250 0.250 0.250
0.500 0.500 0.500
```

Record 3
Compound: SrH4S3O12
Source: Alexandria via LeMat-Bulk
Functional: GGA-PBEsol
Structure: optimized geometry

Calculated values
mass density	2.620	g/cm3
final energy	-6.088	eV/atom
M_tot	0.0001	μB/atom
symmetry	P-1, No. 2
DOS at the Fermi energy	0.00	states/eV per cell

```
SrH4S3O12
1.0
5.929 0.000 0.000
2.707 8.076 0.000
1.027 1.265 10.056
Sr H S O
2 8 6 24
Direct
0.002 0.262 0.440
0.998 0.738 0.560
0.042 0.966 0.868
0.227 0.607 0.127
0.468 0.224 0.652
0.493 0.863 0.904
0.507 0.137 0.096
0.532 0.776 0.348
0.773 0.393 0.873
0.958 0.034 0.132
0.123 0.225 0.065
0.344 0.995 0.675
0.378 0.549 0.323
0.622 0.451 0.677
0.656 0.005 0.325
0.877 0.775 0.935
0.002 0.698 0.054
0.037 0.309 0.182
0.127 0.041 0.098
0.159 0.972 0.602
0.172 0.504 0.391
0.291 0.960 0.821
0.310 0.184 0.642
0.341 0.726 0.346
0.382 0.541 0.173
0.384 0.207 0.026
0.393 0.562 0.637
0.414 0.100 0.360
0.586 0.900 0.640
0.607 0.438 0.363
0.616 0.793 0.974
0.618 0.459 0.827
0.659 0.274 0.654
0.690 0.816 0.358
0.709 0.040 0.179
0.828 0.496 0.609
0.841 0.028 0.398
0.873 0.959 0.902
0.963 0.691 0.818
0.998 0.302 0.946
```

Record 4
Compound: TeWF2
Source: Alexandria via LeMat-Bulk
Functional: GGA-PBEsol
Structure: optimized geometry

Calculated values
mass density	8.883	g/cm3
final energy	-5.789	eV/atom
formation energy without anion corrections	-0.4915	eV/atom
M_tot	0.4018	μB/atom
symmetry	I4_1/amd, No. 141
DOS at the Fermi energy	4.29	states/eV per cell

```
TeWF2
1.0
-2.133 2.133 7.181
2.133 -2.133 7.181
2.133 2.133 -7.181
Te W F
2 2 4
Direct
0.375 0.625 0.750
0.625 0.375 0.250
0.125 0.875 0.250
0.875 0.125 0.750
0.000 0.000 0.000
0.000 0.000 0.500
0.000 0.500 0.000
0.500 0.000 0.500
```

Record 5
Compound: Cd2HgTe
Source: Alexandria via LeMat-Bulk
Functional: GGA-PBEsol
Structure: optimized geometry

Calculated values
excess energy over the best structure of this formula in the dataset	0.00	eV/f.u.
mass density	8.808	g/cm3
final energy	-1.673	eV/atom
formation energy without anion corrections	-0.0514	eV/atom
M_tot	0.0000	μB/atom
symmetry	P4/mmm, No. 123
DOS at the Fermi energy	1.41	states/eV per cell

```
Cd2HgTe
1.0
4.148 0.000 0.000
0.000 4.148 0.000
0.000 0.000 6.060
Cd Hg Te
2 1 1
Direct
0.000 0.000 0.000
0.500 0.500 0.500
0.000 0.000 0.500
0.500 0.500 0.000
```

Record 6
Compound: MnFe2Ni
Source: Alexandria via LeMat-Bulk
Functional: GGA-PBEsol
Structure: optimized geometry

Calculated values
mass density	9.010	g/cm3
final energy	-8.414	eV/atom
M_tot	0.6460	μB/atom
symmetry	Pmm2, No. 25
E_form	0.047	eV per atom
DOS at the Fermi energy	4.02	states/eV per cell

```
MnFe2Ni
1.0
2.439 0.000 0.000
0.000 3.487 0.000
0.000 0.000 4.883
Mn Fe Ni
1 2 1
Direct
0.000 0.000 0.000
0.000 0.000 0.508
0.500 0.500 0.759
0.500 0.500 0.260
```

Record 7
Compound: MgNiPt2
Source: Alexandria via LeMat-Bulk
Functional: GGA-PBEsol
Structure: optimized geometry

Calculated values
mass density	13.755	g/cm3
final energy	-5.699	eV/atom
M_tot	0.0004	μB/atom
symmetry	F-43m, No. 216
E_form	-0.249	eV per atom
DOS at the Fermi energy	5.10	states/eV per cell

```
MgNiPt2
1.0
0.000 3.057 3.057
3.057 0.000 3.057
3.057 3.057 0.000
Mg Ni Pt
1 1 2
Direct
0.000 0.000 0.000
0.250 0.250 0.250
0.500 0.500 0.500
0.750 0.750 0.750
```

Record 8
Compound: NiHgW2
Source: Alexandria via LeMat-Bulk
Functional: GGA-PBEsol
Structure: optimized geometry

Calculated values
mass density	17.222	g/cm3
final energy	-8.163	eV/atom
M_tot	0.0002	μB/atom
symmetry	P4/mmm, No. 123
E_form	0.422	eV per atom
DOS at the Fermi energy	2.43	states/eV per cell

```
NiHgW2
1.0
2.752 0.000 0.000
0.000 2.752 0.000
0.000 0.000 7.984
Ni Hg W
1 1 2
Direct
0.000 0.000 0.000
0.000 0.000 0.500
0.500 0.500 0.217
0.500 0.500 0.783
```

Record 9
Compound: Cd41Ir8
Source: Alexandria via LeMat-Bulk
Functional: GGA-PBEsol
Structure: optimized geometry

Calculated values
mass density	10.159	g/cm3
final energy	-2.660	eV/atom
M_tot	0.0000	μB/atom
symmetry	R-3, No. 148
E_form	-0.055	eV per atom
DOS at the Fermi energy	17.47	states/eV per cell

```
Cd41Ir8
1.0
7.397 4.271 5.301
-7.397 4.271 5.301
0.000 -8.541 5.301
Cd Ir
41 8
Direct
0.000 0.000 0.000
0.000 0.500 0.500
0.035 0.404 0.216
0.050 0.871 0.732
0.073 0.779 0.451
0.127 0.682 0.179
0.129 0.268 0.950
0.179 0.127 0.682
0.216 0.035 0.404
0.221 0.549 0.927
0.224 0.330 0.462
0.262 0.610 0.636
0.268 0.950 0.129
0.318 0.821 0.873
0.330 0.462 0.224
0.364 0.738 0.390
0.390 0.364 0.738
0.404 0.216 0.035
0.451 0.073 0.779
0.462 0.224 0.330
0.500 0.000 0.500
0.500 0.500 0.000
0.500 0.500 0.500
0.538 0.776 0.670
0.549 0.927 0.221
0.596 0.784 0.965
0.610 0.636 0.262
0.636 0.262 0.610
0.670 0.538 0.776
0.682 0.179 0.127
0.732 0.050 0.871
0.738 0.390 0.364
0.776 0.670 0.538
0.779 0.451 0.073
0.784 0.965 0.596
0.821 0.873 0.318
0.871 0.732 0.050
0.873 0.318 0.821
0.927 0.221 0.549
0.950 0.129 0.268
0.965 0.596 0.784
0.112 0.383 0.714
0.194 0.194 0.194
0.286 0.888 0.617
0.383 0.714 0.112
0.617 0.286 0.888
0.714 0.112 0.383
0.806 0.806 0.806
0.888 0.617 0.286
```

Record 10
Compound: MnZn2Pt
Source: Alexandria via LeMat-Bulk
Functional: GGA-PBEsol
Structure: optimized geometry

Calculated values
mass density	11.369	g/cm3
final energy	-5.077	eV/atom
M_tot	0.8667	μB/atom
symmetry	C2/m, No. 12
E_form	-0.105	eV per atom
DOS at the Fermi energy	2.55	states/eV per cell

```
MnZn2Pt
1.0
2.624 -4.334 0.000
2.624 4.334 0.000
-1.140 0.000 2.446
Mn Zn Pt
1 2 1
Direct
0.000 0.000 0.000
0.000 0.500 0.500
0.500 0.000 0.500
0.500 0.500 0.000
```

Record 11
Compound: Eu2MgIn
Source: Alexandria via LeMat-Bulk
Functional: GGA-PBEsol
Structure: optimized geometry

Calculated values
mass density	6.263	g/cm3
final energy	-6.778	eV/atom
M_tot	3.5076	μB/atom
symmetry	Fm-3m, No. 225
E_form	-0.321	eV per atom
DOS at the Fermi energy	17.65	states/eV per cell

```
Eu2MgIn
1.0
0.000 3.887 3.887
3.887 0.000 3.887
3.887 3.887 0.000
Eu Mg In
2 1 1
Direct
0.250 0.250 0.250
0.750 0.750 0.750
0.000 0.000 0.000
0.500 0.500 0.500
```

Record 12
Compound: GaTe2RhN
Source: Alexandria via LeMat-Bulk
Functional: GGA-PBEsol
Structure: optimized geometry

Calculated values
mass density	7.374	g/cm3
final energy	-4.549	eV/atom
formation energy without anion corrections	0.8629	eV/atom
M_tot	0.0061	μB/atom
symmetry	P4/mmm, No. 123
DOS at the Fermi energy	5.83	states/eV per cell

```
GaTe2RhN
1.0
5.388 0.000 0.000
0.000 5.388 0.000
0.000 0.000 3.427
Ga Te Rh N
1 2 1 1
Direct
0.000 0.000 0.000
0.000 0.500 0.000
0.500 0.000 0.000
0.500 0.500 0.500
0.000 0.000 0.500
```

Record 13
Compound: BaNb2Bi2O9
Source: Alexandria via LeMat-Bulk
Functional: GGA-PBEsol
Structure: optimized geometry

Calculated values
mass density	7.367	g/cm3
final energy	-7.909	eV/atom
formation energy without anion corrections	-2.2227	eV/atom
M_tot	0.0000	μB/atom
symmetry	Cmc2_1, No. 36
DOS at the Fermi energy	0.00	states/eV per cell

```
BaNb2Bi2O9
1.0
12.511 -2.822 0.000
12.511 2.822 0.000
0.000 0.000 5.651
Ba Nb Bi O
2 4 4 18
Direct
0.248 0.752 0.500
0.752 0.248 0.000
0.166 0.661 0.991
0.339 0.834 0.991
0.661 0.166 0.491
0.834 0.339 0.491
0.083 0.515 0.409
0.485 0.917 0.409
0.515 0.083 0.909
0.917 0.485 0.909
0.079 0.092 0.764
0.092 0.079 0.264
0.151 0.528 0.023
0.230 0.770 0.011
0.232 0.263 0.698
0.263 0.232 0.198
0.423 0.428 0.758
0.428 0.423 0.258
0.472 0.849 0.023
0.528 0.151 0.523
0.572 0.577 0.758
0.577 0.572 0.258
0.737 0.768 0.698
0.768 0.737 0.198
0.770 0.230 0.511
0.849 0.472 0.523
0.908 0.921 0.764
0.921 0.908 0.264
```

Record 14
Compound: CsNaP2
Source: Alexandria via LeMat-Bulk
Functional: GGA-PBEsol
Structure: optimized geometry

Calculated values
mass density	3.125	g/cm3
final energy	-3.494	eV/atom
M_tot	0.0001	μB/atom
symmetry	I4_1/amd, No. 141
E_form	-0.013	eV per atom
DOS at the Fermi energy	3.04	states/eV per cell

```
CsNaP2
1.0
-2.421 2.421 9.875
2.421 -2.421 9.875
2.421 2.421 -9.875
Cs Na P
2 2 4
Direct
0.375 0.625 0.750
0.625 0.375 0.250
0.125 0.875 0.250
0.875 0.125 0.750
0.000 0.000 0.000
0.000 0.000 0.500
0.000 0.500 0.000
0.500 0.000 0.500
```

Record 15
Compound: Zn2Ir
Source: Alexandria via LeMat-Bulk
Functional: GGA-PBEsol
Structure: optimized geometry

Calculated values
mass density	13.118	g/cm3
final energy	-4.494	eV/atom
M_tot	0.0000	μB/atom
symmetry	Cm, No. 8
E_form	-0.165	eV per atom
DOS at the Fermi energy	2.30	states/eV per cell

```
Zn2Ir
1.0
4.822 -1.395 0.000
4.822 1.395 0.000
-1.548 0.000 6.077
Zn Ir
4 2
Direct
0.000 0.000 0.000
0.051 0.051 0.601
0.383 0.383 0.280
0.722 0.722 0.940
0.332 0.332 0.670
0.662 0.662 0.326
```

Record 16
Compound: Ag5Au3
Source: Alexandria via LeMat-Bulk
Functional: GGA-PBEsol
Structure: optimized geometry

Calculated values
excess energy over the best structure of this formula in the dataset	0.84	eV/f.u.
mass density	13.504	g/cm3
final energy	-3.488	eV/atom
M_tot	0.0000	μB/atom
symmetry	I4/mcm, No. 140
E_form	0.053	eV per atom
DOS at the Fermi energy	4.55	states/eV per cell

```
Ag5Au3
1.0
-5.186 5.186 2.584
5.186 -5.186 2.584
5.186 5.186 -2.584
Ag Au
10 6
Direct
0.072 0.765 0.837
0.235 0.072 0.307
0.250 0.750 0.500
0.265 0.572 0.837
0.428 0.265 0.693
0.572 0.735 0.307
0.735 0.428 0.163
0.750 0.250 0.500
0.765 0.928 0.693
0.928 0.235 0.163
0.173 0.327 0.500
0.250 0.250 0.000
0.327 0.827 0.154
0.673 0.173 0.846
0.750 0.750 0.000
0.827 0.673 0.500
```

Record 17
Compound: K2ZnC
Source: Alexandria via LeMat-Bulk
Functional: GGA-PBEsol
Structure: optimized geometry

Calculated values
mass density	2.468	g/cm3
final energy	-2.001	eV/atom
M_tot	0.5000	μB/atom
symmetry	Fm-3m, No. 225
E_form	1.372	eV per atom
DOS at the Fermi energy	2.28	states/eV per cell

```
K2ZnC
1.0
0.000 3.741 3.741
3.741 0.000 3.741
3.741 3.741 0.000
K Zn C
2 1 1
Direct
0.250 0.250 0.250
0.750 0.750 0.750
0.000 0.000 0.000
0.500 0.500 0.500
```

Record 18
Compound: NbSb2PdI
Source: Alexandria via LeMat-Bulk
Functional: GGA-PBEsol
Structure: optimized geometry

Calculated values
excess energy over the best structure of this formula in the dataset	0.00	eV/f.u.
mass density	6.340	g/cm3
final energy	-4.782	eV/atom
formation energy without anion corrections	0.7507	eV/atom
M_tot	0.0000	μB/atom
symmetry	P4/mmm, No. 123
DOS at the Fermi energy	3.97	states/eV per cell

```
NbSb2PdI
1.0
5.289 0.000 0.000
0.000 5.289 0.000
0.000 0.000 5.335
Nb Sb Pd I
1 2 1 1
Direct
0.000 0.000 0.000
0.000 0.500 0.000
0.500 0.000 0.000
0.500 0.500 0.500
0.000 0.000 0.500
```

Record 19
Compound: Ta2AlCu
Source: Alexandria via LeMat-Bulk
Functional: GGA-PBEsol
Structure: optimized geometry

Calculated values
mass density	12.196	g/cm3
final energy	-8.474	eV/atom
M_tot	0.0000	μB/atom
symmetry	P4mm, No. 99
E_form	-0.092	eV per atom
DOS at the Fermi energy	2.66	states/eV per cell

```
Ta2AlCu
1.0
2.812 0.000 0.000
0.000 2.812 0.000
0.000 0.000 7.791
Ta Al Cu
2 1 1
Direct
0.000 0.000 0.000
0.500 0.500 0.297
0.000 0.000 0.558
0.500 0.500 0.759
```

Record 20
Compound: KAgPt4
Source: Alexandria via LeMat-Bulk
Functional: GGA-PBEsol
Structure: optimized geometry

Calculated values
mass density	14.490	g/cm3
final energy	-5.353	eV/atom
M_tot	0.0000	μB/atom
symmetry	F-43m, No. 216
E_form	0.030	eV per atom
DOS at the Fermi energy	1.34	states/eV per cell

```
KAgPt4
1.0
0.000 3.759 3.759
3.759 0.000 3.759
3.759 3.759 0.000
K Ag Pt
1 1 4
Direct
0.000 0.000 0.000
0.750 0.750 0.750
0.375 0.375 0.375
0.375 0.375 0.874
0.375 0.874 0.375
0.874 0.375 0.375
```

Record 21
Compound: CrCdCu2
Source: Alexandria via LeMat-Bulk
Functional: GGA-PBEsol
Structure: optimized geometry

Calculated values
mass density	8.657	g/cm3
final energy	-4.724	eV/atom
M_tot	0.7972	μB/atom
symmetry	P4/mmm, No. 123
E_form	0.303	eV per atom
DOS at the Fermi energy	2.80	states/eV per cell

```
CrCdCu2
1.0
3.042 0.000 0.000
0.000 3.042 0.000
0.000 0.000 6.040
Cr Cd Cu
1 1 2
Direct
0.000 0.000 0.000
0.000 0.000 0.500
0.500 0.500 0.221
0.500 0.500 0.779
```

Record 22
Compound: Tb2Sn5Rh3
Source: Alexandria via LeMat-Bulk
Functional: GGA-PBEsol
Structure: optimized geometry

Calculated values
mass density	9.910	g/cm3
final energy	-6.328	eV/atom
M_tot	0.0000	μB/atom
symmetry	Cmc2_1, No. 36
E_form	-0.755	eV per atom
DOS at the Fermi energy	9.01	states/eV per cell

```
Tb2Sn5Rh3
1.0
2.194 -13.081 0.000
2.194 13.081 0.000
0.000 0.000 7.124
Tb Sn Rh
4 10 6
Direct
0.024 0.976 0.500
0.328 0.672 0.478
0.672 0.328 0.978
0.976 0.024 0.000
0.097 0.903 0.127
0.206 0.794 0.688
0.209 0.791 0.259
0.380 0.620 0.003
0.452 0.548 0.337
0.548 0.452 0.837
0.620 0.380 0.503
0.791 0.209 0.759
0.794 0.206 0.188
0.903 0.097 0.627
0.106 0.894 0.753
0.277 0.723 0.972
0.450 0.550 0.721
0.550 0.450 0.221
0.723 0.277 0.472
0.894 0.106 0.253
```